# 1
Compound: TiRe2Ni
Source: the Alexandria database
Functional: PBE-GGA
Structure: optimized geometry

As for the total energy: -38.08 eV per formula unit. As for the formation energy: 0.123 eV per atom.

It has space group Fm-3m (No. 225), with a = 6.0947 Å, b = 6.0947 Å, c = 6.0947 Å, α = 90.00°, β = 90.00° and γ = 90.00°. Symmetry generates all atoms from Ti at (0.0000, 0.0000, 0.0000), Re at (0.2500, 0.2500, 0.2500) and Ni at (0.0000, 0.0000, 0.5000).



# 2
Compound: Ti2ReNi
Source: the Alexandria database
Functional: PBE-GGA
Structure: optimized geometry

As for the total energy: -35.72 eV per formula unit. As for the formation energy: -0.426 eV per atom.

It has space group Fm-3m (No. 225), with a = 6.1377 Å, b = 6.1377 Å, c = 6.1377 Å, α = 90.00°, β = 90.00° and γ = 90.00°. Symmetry generates all atoms from Ti at (0.2500, 0.2500, 0.2500), Re at (0.0000, 0.0000, 0.0000) and Ni at (0.0000, 0.0000, 0.5000).